# GGA-PBE In3NiAu, relaxed
# * volume: 146.4 Å³/f.u.
# * N(E_F): 7.583 states/eV per cell
# * energy relative to the lowest polymorph listed for this composition: 712 meV/atom
data_In3NiAu
_symmetry_space_group_name_H-M 'P m -3 m'
_symmetry_Int_Tables_number 221
_symmetry_space_group_name_Hall '-P 4 2 3'
_cell_length_a 5.271
_cell_length_b 5.271
_cell_length_c 5.271
_cell_angle_alpha 90.00
_cell_angle_beta 90.00
_cell_angle_gamma 90.00
loop_
_atom_site_label
_atom_site_type_symbol
_atom_site_fract_x
_atom_site_fract_y
_atom_site_fract_z
In1 In 0.000 0.000 0.500
Ni1 Ni 0.500 0.500 0.500
Au1 Au 0.000 0.000 0.000

---

# GGA-PBE TmTh2Ni6, relaxed
# * volume: 162.2 Å³/f.u.
# * N(E_F): 12.842 states/eV per cell
# * energy relative to the lowest polymorph listed for this composition: 166 meV/atom
data_TmTh2Ni6
_symmetry_space_group_name_H-M 'I m m m'
_symmetry_Int_Tables_number 71
_symmetry_space_group_name_Hall '-I 2 2'
_cell_length_a 3.563
_cell_length_b 6.903
_cell_length_c 13.191
_cell_angle_alpha 90.00
_cell_angle_beta 90.00
_cell_angle_gamma 90.00
loop_
_atom_site_label
_atom_site_type_symbol
_atom_site_fract_x
_atom_site_fract_y
_atom_site_fract_z
Tm1 Tm 0.000 0.000 0.000
Th1 Th 0.000 0.500 0.146
Ni1 Ni 0.000 0.182 0.500
Ni2 Ni 0.000 0.318 0.332

---

# GGA-PBE LiRh3C, relaxed
# * volume: 66.8 Å³/f.u.
# * N(E_F): 1.914 states/eV per cell
# * energy relative to the lowest polymorph listed for this composition: 1899 meV/atom
data_LiRh3C
_symmetry_space_group_name_H-M 'P m -3 m'
_symmetry_Int_Tables_number 221
_symmetry_space_group_name_Hall '-P 4 2 3'
_cell_length_a 4.057
_cell_length_b 4.057
_cell_length_c 4.057
_cell_angle_alpha 90.00
_cell_angle_beta 90.00
_cell_angle_gamma 90.00
loop_
_atom_site_label
_atom_site_type_symbol
_atom_site_fract_x
_atom_site_fract_y
_atom_site_fract_z
Li1 Li 0.000 0.000 0.000
Rh1 Rh 0.000 0.000 0.500
C1 C 0.500 0.500 0.500

---

# GGA-PBE KZrSb2, relaxed
# * volume: 109.7 Å³/f.u.
# * N(E_F): 2.361 states/eV per cell
# * uncorrected formation energy: -3.83 kcal/mol of atoms
# * energy relative to the lowest polymorph listed for this composition: 330 meV/atom
data_KZrSb2
_symmetry_space_group_name_H-M 'P 4 m m'
_symmetry_Int_Tables_number 99
_symmetry_space_group_name_Hall 'P 4 -2'
_cell_length_a 5.798
_cell_length_b 5.798
_cell_length_c 3.264
_cell_angle_alpha 90.00
_cell_angle_beta 90.00
_cell_angle_gamma 90.00
loop_
_atom_site_label
_atom_site_type_symbol
_atom_site_fract_x
_atom_site_fract_y
_atom_site_fract_z
K1 K 0.000 0.000 0.000
Zr1 Zr 0.500 0.500 0.741
Sb1 Sb 0.000 0.500 0.468

---

# GGA-PBE PmPa2C, relaxed
# * volume: 93.1 Å³/f.u.
# * N(E_F): 22.541 states/eV per cell
# * energy relative to the lowest polymorph listed for this composition: 0 meV/atom
data_PmPa2C
_symmetry_space_group_name_H-M 'R -3 m'
_symmetry_Int_Tables_number 166
_symmetry_space_group_name_Hall '-R 3 2"'
_cell_length_a 3.3516
_cell_length_b 3.3516
_cell_length_c 28.7039
_cell_angle_alpha 90.00
_cell_angle_beta 90.00
_cell_angle_gamma 120.00
loop_
_atom_site_label
_atom_site_type_symbol
_atom_site_fract_x
_atom_site_fract_y
_atom_site_fract_z
Pm1 Pm 0.0000 0.0000 0.0000
Pa1 Pa 0.0000 0.0000 0.1152
C1 C 0.0000 0.0000 0.5000

---

# GGA-PBE PmPb2BrO4, relaxed
# * volume: 151.7 Å³/f.u.
# * N(E_F): 3.787 states/eV per cell
# * uncorrected formation energy: -37.59 kcal/mol of atoms
data_PmPb2BrO4
_symmetry_space_group_name_H-M 'P 4/m m m'
_symmetry_Int_Tables_number 123
_symmetry_space_group_name_Hall '-P 4 2'
_cell_length_a 4.047
_cell_length_b 4.047
_cell_length_c 9.260
_cell_angle_alpha 90.00
_cell_angle_beta 90.00
_cell_angle_gamma 90.00
loop_
_atom_site_label
_atom_site_type_symbol
_atom_site_fract_x
_atom_site_fract_y
_atom_site_fract_z
Pm1 Pm 0.000 0.000 0.000
Pb1 Pb 0.500 0.500 0.266
Br1 Br 0.000 0.000 0.500
O1 O 0.000 0.500 0.149

---

> Among the records above, which one has the lowest volume?

LiRh3C

---

> volume of number 5 (PmPa2C)?

93.1 Å³/f.u.

---

Repeat the fourth record exactly.
# GGA-PBE KZrSb2, relaxed
# * volume: 109.7 Å³/f.u.
# * N(E_F): 2.361 states/eV per cell
# * uncorrected formation energy: -3.83 kcal/mol of atoms
# * energy relative to the lowest polymorph listed for this composition: 330 meV/atom
data_KZrSb2
_symmetry_space_group_name_H-M 'P 4 m m'
_symmetry_Int_Tables_number 99
_symmetry_space_group_name_Hall 'P 4 -2'
_cell_length_a 5.798
_cell_length_b 5.798
_cell_length_c 3.264
_cell_angle_alpha 90.00
_cell_angle_beta 90.00
_cell_angle_gamma 90.00
loop_
_atom_site_label
_atom_site_type_symbol
_atom_site_fract_x
_atom_site_fract_y
_atom_site_fract_z
K1 K 0.000 0.000 0.000
Zr1 Zr 0.500 0.500 0.741
Sb1 Sb 0.000 0.500 0.468

---

> What is the N(E_F) in the sixth record?

3.787 states/eV per cell